[1]
First-principles (PBE) data for a relaxed structure of BaGaH, as listed in Alexandria via LeMat-Bulk.

Cell: 4.4595 15.6684 4.4855 Å, 90.00 90.00 90.00°
With the nearest neighbours (Å) after each atom.
Space group Cmcm (No. 63)
Unique sites:
Ba  0.0000  0.1566  0.2500 x4  4 H 2.66-2.69
Ga  0.0000  0.4664  0.2500 x4  2 Ga 2.48
H  0.0000  0.2475  0.7500 x4  4 Ba 2.66-2.69

Values from the calculation:
Total magnetization = 0.00 μB per cell
E = -3.170 eV/atom

[2]
First-principles (PBE) data for a relaxed structure of Co2Ni3Pt3, as listed in Alexandria via LeMat-Bulk.

Cell: 3.6405 3.7480 15.0913 Å, 90.00 90.00 90.00°
With the nearest neighbours (Å) after each atom.
Space group Immm (No. 71)
Unique sites:
Co  0.0000  0.0000  0.2502 x4  4 Ni 2.55-2.60, 4 Pt 2.56-2.59, 4 Co 2.61
Ni  0.0000  0.0000  0.0000 x2  8 Pt 2.61-2.69, 4 Ni 2.72
Ni  0.0000  0.5000  0.1311 x4  4 Co 2.55-2.60, 6 Pt 2.61-2.69, 2 Ni 2.72
Pt  0.0000  0.0000  0.5000 x2  8 Ni 2.61-2.69, 4 Pt 2.73
Pt  0.0000  0.5000  0.3689 x4  4 Co 2.56-2.59, 6 Ni 2.61-2.69, 2 Pt 2.73

Values from the calculation:
ΔE_f = -0.096 eV/atom
Total magnetization = 13.65 μB per cell

[3]
First-principles (PBE) data for a relaxed structure of Y2ZnMo, as listed in Alexandria via LeMat-Bulk.

Cell: 3.5520 3.5520 7.1137 Å, 90.00 90.00 90.00°
With the nearest neighbours (Å) after each atom.
Space group P4/mmm (No. 123)
Unique sites:
Y  0.0000  0.0000  0.2383 x2  4 Mo 3.03, 4 Zn 3.13, 1 Y 3.39
Zn  0.5000  0.5000  0.5000 x1  8 Y 3.13
Mo  0.5000  0.5000  0.0000 x1  8 Y 3.03

Values from the calculation:
ΔE_f = 0.083 eV/atom
Total magnetization = 0.00 μB per cell

[4]
First-principles (PBE) data for a relaxed structure of LiAgW, as listed in Alexandria via LeMat-Bulk.

Cell: 2.6166 4.2127 8.6395 Å, 90.00 90.00 90.00°
With the nearest neighbours (Å) after each atom.
Space group Imm2 (No. 44)
Unique sites:
Li  0.0000  0.0000  0.0000 x2  2 Li 2.62, 4 Ag 2.83, 5 W 2.83-2.89
Ag  0.0000  0.0000  0.6577 x2  2 Ag 2.62, 4 Li 2.83, 5 W 2.85-2.88
W  0.0000  0.0000  0.3279 x2  2 W 2.62, 5 Li 2.83-2.89, 5 Ag 2.85-2.88

Values from the calculation:
ΔE_f = 0.741 eV/atom
Total magnetization = 0.00 μB per cell

[5]
First-principles (PBE) data for a relaxed structure of PmGdDyTh, as listed in Alexandria via LeMat-Bulk.

Cell: 8.0731 8.0731 8.0731 Å, 90.00 90.00 90.00°
With the nearest neighbours (Å) after each atom.
Space group F-43m (No. 216)
Unique sites:
Pm  0.0000  0.0000  0.0000 x4  4 Th 3.50, 4 Dy 3.50
Gd  0.0000  0.0000  0.5000 x4  4 Th 3.50, 4 Dy 3.50
Dy  0.2500  0.2500  0.7500 x4  4 Gd 3.50, 4 Pm 3.50
Th  0.2500  0.2500  0.2500 x4  4 Gd 3.50, 4 Pm 3.50

Values from the calculation:
ΔE_f = 0.180 eV/atom
Total magnetization = 34.67 μB per cell

[6]
First-principles (PBE) data for a relaxed structure of Mg2Si, as listed in Alexandria via LeMat-Bulk.

Cell: 6.1559 6.5910 7.3208 Å, 67.07 74.41 65.63°
With the nearest neighbours (Å) after each atom.
Space group P1 (No. 1)
Unique sites:
Mg  0.0000  0.0000  0.0000 x1  3 Si 2.74-2.99, 1 Mg 3.02
Mg  0.0009  0.5710  0.8248 x1  3 Si 2.85-2.99, 3 Mg 3.14-3.19
Mg  0.2101  0.2387  0.5512 x1  4 Si 2.77-2.95, 2 Mg 2.98-3.07
Mg  0.2985  0.7056  0.4031 x1  3 Si 2.78-2.96, 2 Mg 3.07
Mg  0.4660  0.4757  0.0728 x1  4 Si 2.77-2.93, 1 Mg 3.07
Mg  0.5348  0.9956  0.9208 x1  4 Si 2.77-2.85, 1 Mg 3.08
Mg  0.8059  0.0923  0.4831 x1  4 Si 2.66-2.88
Mg  0.8521  0.5848  0.2726 x1  2 Si 2.66-2.70, 1 Mg 2.98
Si  0.1625  0.1976  0.1780 x1  1 Si 2.43, 1 Mg 2.70
Si  0.5331  0.7824  0.6623 x1  2 Si 2.43-2.51
Si  0.5549  0.0065  0.2948 x1  2 Si 2.43-2.51, 2 Mg 2.66
Si  0.7272  0.3634  0.7106 x1  1 Si 2.43, 1 Mg 2.72

Values from the calculation:
Total magnetization = 0.00 μB per cell
Energy relative to the elements, uncorrected = 0.0405 eV/atom

[7]
First-principles (PBE) data for a relaxed structure of Fe2AsAu, as listed in Alexandria via LeMat-Bulk.

Cell: 2.9983 2.9983 6.3964 Å, 90.00 90.00 90.00°
With the nearest neighbours (Å) after each atom.
Space group P4/mmm (No. 123)
Unique sites:
Fe  0.0000  0.0000  0.2169 x2  4 As 2.53, 1 Fe 2.77, 4 Au 2.79
As  0.5000  0.5000  0.0000 x1  8 Fe 2.53
Au  0.5000  0.5000  0.5000 x1  8 Fe 2.79, 4 Au 3.00

Values from the calculation:
ΔE_f = 0.140 eV/atom
Total magnetization = 4.79 μB per cell

[8]
First-principles (PBE) data for a relaxed structure of PuGaPbO5, as listed in Alexandria via LeMat-Bulk.

Cell: 7.1899 9.7135 7.9216 Å, 90.00 114.31 90.00°
With the nearest neighbours (Å) after each atom.
Space group C2/c (No. 15)
Unique sites:
Pu  0.0000  0.0000  0.0000 x4  6 O 2.11-2.20
Ga  0.0000  0.3157  0.2500 x4  4 O 1.87-1.88
Pb  0.0000  0.3300  0.7500 x4  5 O 2.49-2.65
O  0.0000  0.0736  0.7500 x4  2 Pu 2.11
O  0.1024  0.2076  0.1119 x8  1 Ga 1.87
O  0.1910  0.4406  0.4096 x8  1 Ga 1.88

Values from the calculation:
Total magnetization = 12.00 μB per cell
Energy relative to the elements, uncorrected = -2.0676 eV/atom

[9]
First-principles (PBE) data for a relaxed structure of Be2NiTe, as listed in Alexandria via LeMat-Bulk.

Cell: 4.8488 6.4343 3.4924 Å, 90.00 90.00 90.00°
With the nearest neighbours (Å) after each atom.
Space group Cmmm (No. 65)
Unique sites:
Be  0.2500  0.2500  0.0000 x4  2 Be 2.42, 4 Ni 2.67, 4 Te 2.67
Ni  0.0000  0.0000  0.5000 x2  2 Te 2.42, 8 Be 2.67
Te  0.0000  0.5000  0.5000 x2  2 Ni 2.42, 8 Be 2.67

Values from the calculation:
Total magnetization = 0.00 μB per cell
Energy relative to the elements, uncorrected = 0.3703 eV/atom

[10]
First-principles (PBE) data for a relaxed structure of As2Ru2Pt, as listed in Alexandria via LeMat-Bulk.

Cell: 7.1791 7.1791 2.9232 Å, 90.00 90.00 90.00°
With the nearest neighbours (Å) after each atom.
Space group P4/mbm (No. 127)
Unique sites:
As  0.1524  0.3476  0.0000 x4  6 Ru 2.53-2.58, 2 Pt 2.72
Ru  0.1439  0.6439  0.5000 x4  6 As 2.53-2.58
Pt  0.0000  0.0000  0.0000 x2  4 As 2.72, 2 Pt 2.92

Values from the calculation:
ΔE_f = 0.007 eV/atom
Total magnetization = 0.00 μB per cell

[11]
First-principles (PBE) data for a relaxed structure of MgInO2, as listed in Alexandria via LeMat-Bulk.

Cell: 3.3917 3.3917 17.7632 Å, 90.00 90.00 120.00°
With the nearest neighbours (Å) after each atom.
Space group R3m (No. 160, hexagonal axes)
Unique sites:
Mg  0.0000  0.0000  0.0000 x3  4 O 2.03
In  0.0000  0.0000  0.5068 x3  4 O 2.22-2.30
O  0.0000  0.0000  0.1144 x3  1 Mg 2.03, 3 In 2.22
O  0.0000  0.0000  0.6364 x3  3 Mg 2.03

Values from the calculation:
Total magnetization = 0.00 μB per cell
Energy relative to the elements, uncorrected = -1.7670 eV/atom

[12]
First-principles (PBE) data for a relaxed structure of BaBeTl4, as listed in Alexandria via LeMat-Bulk.

Cell: 9.1937 9.1937 9.1937 Å, 90.00 90.00 90.00°
With the nearest neighbours (Å) after each atom.
Space group F-43m (No. 216)
Unique sites:
Ba  0.0000  0.0000  0.0000 x4  12 Tl 3.81, 4 Be 3.98
Be  0.2500  0.2500  0.7500 x4  12 Tl 3.81, 4 Ba 3.98
Tl  0.1242  0.1242  0.3758 x16  6 Tl 3.23-3.27

Values from the calculation:
ΔE_f = 0.309 eV/atom
Total magnetization = 0.00 μB per cell